Record 1
Below is a relaxed AlAsIr3 crystal, with properties calculated at the GGA-PBE level.

a = 4.492 Å, b = 4.492 Å, c = 4.492 Å
α = 90.00°, β = 90.00°, γ = 90.00°
Positions (direct):
Al: 0.000 0.000 0.000
Ir: 0.000 0.500 0.000
Ir: 0.000 0.000 0.500
Ir: 0.500 0.000 0.000
As: 0.500 0.500 0.500

As for the total magnetization: 0.00 μB per atom. Its calculated total energy is -5.90 eV/atom. The value obtained for the energy of formation is 1.09 eV/atom.

***

Record 2
Below is a relaxed LaPrSiGe crystal, with properties calculated at the GGA-PBE level.

a = 4.567 Å, b = 4.045 Å, c = 6.054 Å
α = 90.00°, β = 112.16°, γ = 90.00°
Positions (direct):
Si: 0.576 0.500 0.152
La: 0.859 0.500 0.718
Ge: 0.427 0.000 0.854
Pr: 0.138 0.000 0.276

As for the total magnetization: 0.00 μB per atom. As for the formation energy without anion corrections: -0.7773 eV per atom. Its calculated total energy is -5.71 eV/atom.

***

Q: The lowest calculated total energy belongs to which entry?
A: AlAsIr3